No. 1
12
Lattice="-2.508 4.473 6.167 2.508 -4.473 6.167 2.508 4.473 -6.167" Properties=species:S:1:pos:R:3 comment="PBE-GGA Pu6ThPd5, relaxed" formation_enthalpy_0k_ev_per_fu=-3.77 sg="Immm, No. 71" density_g_cm3=13.37 dos_at_fermi_per_ev_atom=3.77 total_magnetization_mub_per_cell=35.37 pbc="T T T"
Pu 2.508 1.775 -2.263
Pu 0.000 1.690 0.000
Pu 2.508 1.775 2.263
Pu 0.000 2.698 3.905
Pu 0.000 7.256 0.000
Pu 0.000 2.698 8.430
Th 0.000 0.000 6.167
Pd 2.508 0.000 0.000
Pd 0.000 0.000 2.760
Pd 2.508 0.000 4.645
Pd 0.000 4.473 1.522
Pd 0.000 0.000 9.575

=====

No. 2
4
Lattice="0.000 3.656 3.656 3.656 0.000 3.656 3.656 3.656 0.000" Properties=species:S:1:pos:R:3 comment="PBE-GGA LiLaInGe, relaxed" formation_enthalpy_0k_ev_per_fu=-1.56 sg="F-43m, No. 216" density_g_cm3=5.66 dos_at_fermi_per_ev_atom=0.68 total_magnetization_mub_per_cell=0.00 pbc="T T T"
Li 0.000 0.000 0.000
La 3.656 3.656 3.656
In 1.828 1.828 1.828
Ge 5.484 5.484 5.484

=====

No. 3
5
Lattice="5.067 0.000 0.000 0.000 5.067 0.000 0.000 0.000 5.067" Properties=species:S:1:pos:R:3 comment="PBE-GGA Zr3ReSn, relaxed" formation_enthalpy_0k_ev_per_fu=1.84 sg="Pm-3m, No. 221" density_g_cm3=7.39 dos_at_fermi_per_ev_atom=1.77 total_magnetization_mub_per_cell=0.00 pbc="T T T"
Zr 0.000 0.000 2.533
Zr 0.000 2.533 0.000
Zr 2.533 0.000 0.000
Re 0.000 0.000 0.000
Sn 2.533 2.533 2.533

=====

No. 4
80
Lattice="-8.456 8.456 8.456 8.456 -8.456 8.456 8.456 8.456 -8.456" Properties=species:S:1:pos:R:3 comment="PBE-GGA Y5Pu3Se12, relaxed" sg="Ia-3d, No. 230" density_g_cm3=5.83 formation_energy_uncorrected_mev_per_atom=-1523 dos_at_fermi_per_ev_atom=1.68 total_magnetization_mub_per_cell=60.00 pbc="T T T"
Y 0.000 0.000 0.000
Y 4.228 4.228 -4.228
Y 4.228 -4.228 4.228
Y 8.456 0.000 0.000
Y 12.684 2.114 0.000
Y 8.456 -4.228 6.342
Y 6.342 8.456 -4.228
Y 6.342 0.000 4.228
Y 4.228 6.342 0.000
Y 8.456 4.228 2.114
Y -4.228 4.228 4.228
Y 0.000 8.456 0.000
Y 0.000 0.000 8.456
Y 4.228 4.228 4.228
Y 0.000 4.228 6.342
Y 4.228 2.114 8.456
Y 2.114 8.456 4.228
Y 2.114 0.000 12.684
Y 0.000 12.684 2.114
Y -4.228 6.342 8.456
Pu 4.228 2.114 0.000
Pu 8.456 4.228 -2.114
Pu 2.114 0.000 4.228
Pu 10.570 0.000 4.228
Pu 0.000 4.228 2.114
Pu 4.228 -2.114 8.456
Pu 4.228 10.570 0.000
Pu 8.456 4.228 6.342
Pu -2.114 8.456 4.228
Pu 6.342 8.456 4.228
Pu 0.000 4.228 10.570
Pu 4.228 6.342 8.456
Se 2.580 -0.362 1.191
Se 10.104 5.419 -4.590
Se 8.094 -1.191 2.580
Se 13.046 -1.648 3.037
Se 11.036 0.362 1.191
Se 10.104 -3.037 4.590
Se 1.191 2.580 -0.362
Se 11.493 3.866 -1.648
Se 5.419 4.590 -1.648
Se 7.265 2.580 0.362
Se -0.362 1.191 2.580
Se 4.590 -1.648 5.419
Se 8.094 7.265 -2.580
Se 4.590 1.648 3.037
Se 7.265 -2.580 8.094
Se 5.419 -4.590 10.104
Se 3.037 4.590 1.648
Se 9.647 5.876 0.362
Se 2.580 8.094 -1.191
Se 10.104 3.037 3.866
Se 4.590 10.104 -3.037
Se 8.094 1.191 5.876
Se 1.648 3.037 4.590
Se 2.580 0.362 7.265
Se 5.876 8.094 1.191
Se 6.808 5.419 3.866
Se 0.362 7.265 2.580
Se 3.866 -1.648 11.493
Se -1.648 5.419 4.590
Se 5.876 0.362 9.647
Se -1.191 2.580 8.094
Se 5.419 3.866 6.808
Se 3.037 13.046 -1.648
Se 1.191 11.036 0.362
Se 3.866 6.808 5.419
Se 0.362 1.191 11.036
Se 3.866 10.104 3.037
Se 8.818 7.265 5.876
Se 1.191 5.876 8.094
Se 3.037 3.866 10.104
Se -3.037 4.590 10.104
Se 7.265 5.876 8.818
Se -1.648 11.493 3.866
Se -2.580 8.094 7.265
Se -4.590 10.104 5.419
Se 0.362 9.647 5.876
Se -1.648 3.037 13.046
Se 5.876 8.818 7.265